Entry P
# SiGe2C2, relaxed, DFT GGA-PBE
# - Fermi-level density of states: 0.310 states/eV/atom
data_SiGe2C2
_chemical_formula_sum 'Si2 Ge4 C4'
_space_group_name_H-M_alt 'I 4/m m m'
_space_group_IT_number 139
_space_group_name_Hall '-I 4 2'
_cell_length_a 4.960
_cell_length_b 4.960
_cell_length_c 5.545
_cell_angle_alpha 90.00
_cell_angle_beta 90.00
_cell_angle_gamma 90.00
loop_
_atom_site_label
_atom_site_type_symbol
_atom_site_fract_x
_atom_site_fract_y
_atom_site_fract_z
Si1 Si 0.000 0.000 0.000
Ge1 Ge 0.000 0.500 0.250
C1 C 0.000 0.000 0.380



Entry Q
# SiGe2C2, relaxed, DFT GGA-PBE
# - Fermi-level density of states: 0.361 states/eV/atom
data_SiGe2C2
_chemical_formula_sum 'Si2 Ge4 C4'
_space_group_name_H-M_alt 'P 4/m b m'
_space_group_IT_number 127
_space_group_name_Hall '-P 4 2ab'
_cell_length_a 6.379
_cell_length_b 6.379
_cell_length_c 3.229
_cell_angle_alpha 90.00
_cell_angle_beta 90.00
_cell_angle_gamma 90.00
loop_
_atom_site_label
_atom_site_type_symbol
_atom_site_fract_x
_atom_site_fract_y
_atom_site_fract_z
Si1 Si 0.000 0.000 0.000
Ge1 Ge 0.132 0.368 0.500
C1 C 0.250 0.250 0.000



Energy comparison, zero being the most stable, in eV/atom: entry P 0.000; entry Q 0.148.



Entry P
# Si3GeC, relaxed, DFT GGA-PBE
# - Fermi-level density of states: 0.582 states/eV/atom
data_Si3GeC
_chemical_formula_sum 'Si3 Ge1 C1'
_space_group_name_H-M_alt 'P m -3 m'
_space_group_IT_number 221
_space_group_name_Hall '-P 4 2 3'
_cell_length_a 4.113
_cell_length_b 4.113
_cell_length_c 4.113
_cell_angle_alpha 90.00
_cell_angle_beta 90.00
_cell_angle_gamma 90.00
loop_
_atom_site_label
_atom_site_type_symbol
_atom_site_fract_x
_atom_site_fract_y
_atom_site_fract_z
Si1 Si 0.000 0.000 0.500
Ge1 Ge 0.500 0.500 0.500
C1 C 0.000 0.000 0.000



Entry Q
# Si3GeC, relaxed, DFT GGA-PBE
# - Fermi-level density of states: 0.738 states/eV/atom
data_Si3GeC
_chemical_formula_sum 'Si3 Ge1 C1'
_space_group_name_H-M_alt 'P m -3 m'
_space_group_IT_number 221
_space_group_name_Hall '-P 4 2 3'
_cell_length_a 4.687
_cell_length_b 4.687
_cell_length_c 4.687
_cell_angle_alpha 90.00
_cell_angle_beta 90.00
_cell_angle_gamma 90.00
loop_
_atom_site_label
_atom_site_type_symbol
_atom_site_fract_x
_atom_site_fract_y
_atom_site_fract_z
Si1 Si 0.000 0.000 0.500
Ge1 Ge 0.000 0.000 0.000
C1 C 0.500 0.500 0.500



Energy comparison, zero being the most stable, in eV/atom: entry P 0.000; entry Q 1.337.



Entry P
# Si2GeC, relaxed, DFT GGA-PBE
# - Fermi-level density of states: 0.496 states/eV/atom
data_Si2GeC
_chemical_formula_sum 'Si6 Ge3 C3'
_space_group_name_H-M_alt 'R -3 m'
_space_group_IT_number 166
_space_group_name_Hall '-R 3 2"'
_cell_length_a 3.8536
_cell_length_b 3.8536
_cell_length_c 18.1962
_cell_angle_alpha 90.00
_cell_angle_beta 90.00
_cell_angle_gamma 120.00
loop_
_atom_site_label
_atom_site_type_symbol
_atom_site_fract_x
_atom_site_fract_y
_atom_site_fract_z
Si1 Si 0.0000 0.0000 0.0943
Ge1 Ge 0.0000 0.0000 0.5000
C1 C 0.0000 0.0000 0.0000



Entry Q
# Si2GeC, relaxed, DFT GGA-PBE
# - Fermi-level density of states: 0.000 states/eV/atom
data_Si2GeC
_chemical_formula_sum 'Si8 Ge4 C4'
_space_group_name_H-M_alt 'I -4 2 d'
_space_group_IT_number 122
_space_group_name_Hall 'I -4 2bw'
_cell_length_a 5.007
_cell_length_b 5.007
_cell_length_c 9.681
_cell_angle_alpha 90.00
_cell_angle_beta 90.00
_cell_angle_gamma 90.00
loop_
_atom_site_label
_atom_site_type_symbol
_atom_site_fract_x
_atom_site_fract_y
_atom_site_fract_z
Si1 Si 0.178 0.250 0.125
Ge1 Ge 0.000 0.000 0.500
C1 C 0.000 0.000 0.000



Entry R
# Si2GeC, relaxed, DFT GGA-PBE
# - Fermi-level density of states: 0.568 states/eV/atom
data_Si2GeC
_chemical_formula_sum 'Si8 Ge4 C4'
_space_group_name_H-M_alt 'F m -3 m'
_space_group_IT_number 225
_space_group_name_Hall '-F 4 2 3'
_cell_length_a 5.997
_cell_length_b 5.997
_cell_length_c 5.997
_cell_angle_alpha 90.00
_cell_angle_beta 90.00
_cell_angle_gamma 90.00
loop_
_atom_site_label
_atom_site_type_symbol
_atom_site_fract_x
_atom_site_fract_y
_atom_site_fract_z
Si1 Si 0.250 0.250 0.250
Ge1 Ge 0.000 0.000 0.000
C1 C 0.000 0.000 0.500



Energy comparison, zero being the most stable, in eV/atom: entry P 0.774; entry Q 0.000; entry R 1.341.



Entry P
# SiGeC, relaxed, DFT GGA-PBE
# - Fermi-level density of states: 0.295 states/eV/atom
data_SiGeC
_chemical_formula_sum 'Si2 Ge2 C2'
_space_group_name_H-M_alt 'C 1 m 1'
_space_group_IT_number 8
_cell_length_a 9.744
_cell_length_b 3.138
_cell_length_c 3.068
_cell_angle_alpha 90.00
_cell_angle_beta 108.20
_cell_angle_gamma 90.00
loop_
_space_group_symop_operation_xyz
'x,y,z'
'x,-y,z'
'x+1/2,y+1/2,z'
'x+1/2,-y+1/2,z'
loop_
_atom_site_label
_atom_site_type_symbol
_atom_site_fract_x
_atom_site_fract_y
_atom_site_fract_z
Si1 Si 0.000 0.000 0.000
Ge1 Ge 0.246 0.500 0.742
C1 C 0.114 0.000 0.613



Entry Q
# SiGeC, relaxed, DFT GGA-PBE
# - Fermi-level density of states: 0.425 states/eV/atom
data_SiGeC
_chemical_formula_sum 'Si2 Ge2 C2'
_space_group_name_H-M_alt 'C 1 2 1'
_space_group_IT_number 5
_cell_length_a 4.631
_cell_length_b 8.918
_cell_length_c 3.053
_cell_angle_alpha 90.00
_cell_angle_beta 125.53
_cell_angle_gamma 90.00
loop_
_space_group_symop_operation_xyz
'x,y,z'
'-x,y,-z'
'x+1/2,y+1/2,z'
'-x+1/2,y+1/2,-z'
loop_
_atom_site_label
_atom_site_type_symbol
_atom_site_fract_x
_atom_site_fract_y
_atom_site_fract_z
Si1 Si 0.000 0.000 0.000
Ge1 Ge 0.000 0.680 0.500
C1 C 0.000 0.893 0.500



Entry R
# SiGeC, relaxed, DFT GGA-PBE
# - Fermi-level density of states: 0.154 states/eV/atom
data_SiGeC
_chemical_formula_sum 'Si3 Ge3 C3'
_space_group_name_H-M_alt 'R 3 m'
_space_group_IT_number 160
_space_group_name_Hall 'R 3 -2"'
_cell_length_a 3.0562
_cell_length_b 3.0562
_cell_length_c 15.6827
_cell_angle_alpha 90.00
_cell_angle_beta 90.00
_cell_angle_gamma 120.00
loop_
_atom_site_label
_atom_site_type_symbol
_atom_site_fract_x
_atom_site_fract_y
_atom_site_fract_z
Si1 Si 0.0000 0.0000 0.0000
Ge1 Ge 0.0000 0.0000 0.8374
C1 C 0.0000 0.0000 0.7014



Entry S
# SiGeC, relaxed, DFT GGA-PBE
# - Fermi-level density of states: 0.380 states/eV/atom
data_SiGeC
_chemical_formula_sum 'Si1 Ge1 C1'
_space_group_name_H-M_alt 'P 1'
_space_group_IT_number 1
_cell_length_a 3.146
_cell_length_b 3.864
_cell_length_c 4.974
_cell_angle_alpha 110.27
_cell_angle_beta 105.40
_cell_angle_gamma 97.24
loop_
_space_group_symop_operation_xyz
'x,y,z'
loop_
_atom_site_label
_atom_site_type_symbol
_atom_site_fract_x
_atom_site_fract_y
_atom_site_fract_z
Si1 Si 0.000 0.000 0.000
Ge1 Ge 0.823 0.324 0.648
C1 C 0.202 0.203 0.404



Energy comparison, zero being the most stable, in eV/atom: entry P 0.276; entry Q 0.320; entry R 0.000; entry S 0.532.



Entry P
# SiGeC, relaxed, DFT GGA-PBE
# - Fermi-level density of states: 0.371 states/eV/atom
data_SiGeC
_chemical_formula_sum 'Si1 Ge1 C1'
_space_group_name_H-M_alt 'P 1 m 1'
_space_group_IT_number 6
_cell_length_a 3.027
_cell_length_b 3.211
_cell_length_c 4.679
_cell_angle_alpha 90.00
_cell_angle_beta 108.52
_cell_angle_gamma 90.00
loop_
_space_group_symop_operation_xyz
'x,y,z'
'x,-y,z'
loop_
_atom_site_label
_atom_site_type_symbol
_atom_site_fract_x
_atom_site_fract_y
_atom_site_fract_z
Si1 Si 0.000 0.000 0.000
Ge1 Ge 0.762 0.500 0.536
C1 C 0.617 0.000 0.237



Entry Q
# SiGeC, relaxed, DFT GGA-PBE
# - Fermi-level density of states: 0.238 states/eV/atom
data_SiGeC
_chemical_formula_sum 'Si1 Ge1 C1'
_space_group_name_H-M_alt 'P 1 2 1'
_space_group_IT_number 3
_cell_length_a 3.115
_cell_length_b 4.156
_cell_length_c 3.277
_cell_angle_alpha 90.00
_cell_angle_beta 108.92
_cell_angle_gamma 90.00
loop_
_space_group_symop_operation_xyz
'x,y,z'
'-x,y,-z'
loop_
_atom_site_label
_atom_site_type_symbol
_atom_site_fract_x
_atom_site_fract_y
_atom_site_fract_z
Si1 Si 0.000 0.000 0.000
Ge1 Ge 0.500 0.579 0.500
C1 C 0.500 0.263 0.000



Energy comparison, zero being the most stable, in eV/atom: entry P 0.000; entry Q 0.030.



Entry P
# SiGe2C, relaxed, DFT GGA-PBE
# - Fermi-level density of states: 0.000 states/eV/atom
data_SiGe2C
_chemical_formula_sum 'Si4 Ge8 C4'
_space_group_name_H-M_alt 'I -4 2 d'
_space_group_IT_number 122
_space_group_name_Hall 'I -4 2bw'
_cell_length_a 5.145
_cell_length_b 5.145
_cell_length_c 9.996
_cell_angle_alpha 90.00
_cell_angle_beta 90.00
_cell_angle_gamma 90.00
loop_
_atom_site_label
_atom_site_type_symbol
_atom_site_fract_x
_atom_site_fract_y
_atom_site_fract_z
Si1 Si 0.000 0.000 0.000
Ge1 Ge 0.192 0.250 0.625
C1 C 0.000 0.000 0.500



Entry Q
# SiGe2C, relaxed, DFT GGA-PBE
# - Fermi-level density of states: 0.780 states/eV/atom
data_SiGe2C
_chemical_formula_sum 'Si4 Ge8 C4'
_space_group_name_H-M_alt 'F m -3 m'
_space_group_IT_number 225
_space_group_name_Hall '-F 4 2 3'
_cell_length_a 6.183
_cell_length_b 6.183
_cell_length_c 6.183
_cell_angle_alpha 90.00
_cell_angle_beta 90.00
_cell_angle_gamma 90.00
loop_
_atom_site_label
_atom_site_type_symbol
_atom_site_fract_x
_atom_site_fract_y
_atom_site_fract_z
Si1 Si 0.000 0.000 0.000
Ge1 Ge 0.250 0.250 0.250
C1 C 0.000 0.000 0.500



Energy comparison, zero being the most stable, in eV/atom: entry P 0.000; entry Q 1.042.